Record 1
This record from Alexandria via LeMat-Bulk describes a relaxed structure of CeInHgGe. The functional is PBE.

a = 7.290 Å, b = 7.290 Å, c = 7.290 Å
α = 90.00°, β = 90.00°, γ = 90.00°
Space group F-43m (No. 216)
Unique sites:
Ce 0.000 0.000 0.000 [4 per cell]
In 0.000 0.000 0.500 [4 per cell]
Hg 0.250 0.250 0.250 [4 per cell]
Ge 0.250 0.250 0.750 [4 per cell]

Computed properties:
Calculated volume ... 97 Å³/f.u.
Distance to the lowest polymorph of the same formula ... 125 meV/atom
Energy relative to the elements ... -0.2900 eV/atom

Record 2
This record from Alexandria via LeMat-Bulk describes a relaxed structure of Ni8GeAs2. The functional is PBE.

a = 3.674 Å, b = 6.553 Å, c = 11.010 Å
α = 90.00°, β = 90.00°, γ = 90.00°
Space group Immm (No. 71)
Unique sites:
Ni 0.000 0.000 0.146 [4 per cell]
Ni 0.000 0.231 0.335 [8 per cell]
Ni 0.000 0.296 0.000 [4 per cell]
Ge 0.000 0.500 0.500 [2 per cell]
As 0.000 0.500 0.178 [4 per cell]

Computed properties:
Calculated volume ... 133 Å³/f.u.
Distance to the lowest polymorph of the same formula ... 9 meV/atom
Energy relative to the elements ... -0.2153 eV/atom